The following is a DFT calculation (GGA-PBE) of an optimized crystal structure of BaAg2GeW.

The structure in POSCAR format:
```
BaAg2GeW
1.0
5.271 0.000 0.000
0.000 5.271 0.000
0.000 0.000 4.912
Ba Ag Ge W
1 2 1 1
Direct
0.000 0.000 0.000 Ba
0.000 0.500 0.500 Ag
0.500 0.000 0.500 Ag
0.500 0.500 0.000 Ge
0.500 0.500 0.500 W
```

Summary:
Electronic total energy   -23.2 eV per formula unit
Energy of formation   406 meV/atom